No. 1
VASP calculation (PBE-GGA) on a relaxed Ag2AuS crystal. Values from VASP.

Cell and atoms, written as Quantum ESPRESSO input:
```
&SYSTEM
  ibrav = 0, nat = 4, ntyp = 3
/
ATOMIC_SPECIES
Ag 107.87 Ag.upf
Au 196.97 Au.upf
S 32.06 S.upf
CELL_PARAMETERS angstrom
1.461 0.844 9.968
-1.461 0.844 9.968
0.000 -1.687 9.968
ATOMIC_POSITIONS angstrom
Ag 0.000 0.000 2.758
Ag 0.000 0.000 27.146
Au 0.000 0.000 0.000
S 0.000 0.000 14.952
```

Output
- formation energy from raw total energies (eV/atom) = 0.30


No. 2
VASP calculation (PBE-GGA) on a relaxed Ce2PrAl2Pt7 crystal. Values from VASP.

Cell and atoms, written as Quantum ESPRESSO input:
```
&SYSTEM
  ibrav = 0, nat = 12, ntyp = 4
/
ATOMIC_SPECIES
Ce 140.12 Ce.upf
Pr 140.91 Pr.upf
Al 26.98 Al.upf
Pt 195.08 Pt.upf
CELL_PARAMETERS angstrom
2.949 -2.913 0.000
2.949 2.913 0.000
-2.052 0.000 13.983
ATOMIC_POSITIONS angstrom
Ce -0.068 0.000 5.048
Ce 3.914 0.000 8.936
Pr 0.000 0.000 0.000
Al 0.897 0.000 10.426
Al 2.949 0.000 3.557
Pt 1.476 1.457 2.245
Pt 1.010 0.000 8.002
Pt 2.371 1.457 11.739
Pt 2.949 0.000 0.000
Pt 1.476 -1.457 2.245
Pt 2.836 0.000 5.981
Pt 2.371 -1.457 11.739
```

Output
- VASP energy (eV per atom) = -6.5061


No. 3
VASP calculation (PBE-GGA) on a relaxed La2MgIr crystal. Values from VASP.

Cell and atoms, written as Quantum ESPRESSO input:
```
&SYSTEM
  ibrav = 0, nat = 4, ntyp = 3
/
ATOMIC_SPECIES
La 138.91 La.upf
Mg 24.30 Mg.upf
Ir 192.22 Ir.upf
CELL_PARAMETERS angstrom
3.455 0.000 0.000
0.000 3.455 0.000
0.000 0.000 9.102
ATOMIC_POSITIONS angstrom
La 0.000 0.000 0.000
La 1.727 1.727 3.433
Mg 0.000 0.000 5.945
Ir 1.727 1.727 7.386
```

Output
- VASP energy (eV per atom) = -5.3050